LiCoNO | OQMD | PBE with a Hubbard U | optimized geometry; ΔE to the lowest computed polymorph = 0.491 eV per atom; space group = P4/nmm, No. 129
1.0
3.206 0.000 0.000
0.000 3.206 0.000
0.000 0.000 7.793
Co Li N O
2 2 2 2
Cartesian
0.000 0.000 3.896
1.603 1.603 3.896
1.603 0.000 1.088
0.000 1.603 6.705
0.000 1.603 2.936
1.603 0.000 4.857
0.000 0.000 0.000
1.603 1.603 0.000